[1]
# SrMnBe2 | Alexandria via LeMat-Bulk | PBE | optimized geometry
# - N(E_F) (states/eV/atom) = 0.738
# - size of the total moment (μB/atom) = 0.6755
# - energy above the lowest structure with this stoichiometry (meV/atom) = 158
# - formation energy (kJ per mole of atoms) = 37.6
# - V (Å³/cell) = 64
data_SrMnBe2
_chemical_formula_sum 'Sr1 Mn1 Be2'
_space_group_name_H-M_alt 'P m m m'
_space_group_IT_number 47
_cell_length_a 2.962
_cell_length_b 3.214
_cell_length_c 6.737
_cell_angle_alpha 90.00
_cell_angle_beta 90.00
_cell_angle_gamma 90.00
loop_
_space_group_symop_operation_xyz
'x,y,z'
'-x,-y,-z'
'-x,-y,z'
'x,y,-z'
'x,-y,-z'
'-x,y,z'
'-x,y,-z'
'x,-y,z'
loop_
_atom_site_label
_atom_site_fract_x
_atom_site_fract_y
_atom_site_fract_z
_atom_site_occupancy
Sr1 0.000 0.000 0.000 1
Mn1 0.000 0.000 0.500 1
Be1 0.500 0.500 0.343 1

[2]
# Sm3AgPd | Alexandria via LeMat-Bulk | PBE | optimized geometry
# - N(E_F) (states/eV/atom) = 1.179
# - size of the total moment (μB/atom) = 0.0000
# - energy above the lowest structure with this stoichiometry (meV/atom) = 0
# - formation energy (kJ per mole of atoms) = -36.0
# - V (Å³/cell) = 546
data_Sm3AgPd
_chemical_formula_sum 'Sm12 Ag4 Pd4'
_space_group_name_H-M_alt 'C 1 2/m 1'
_space_group_IT_number 12
_cell_length_a 10.232
_cell_length_b 6.779
_cell_length_c 8.812
_cell_angle_alpha 90.00
_cell_angle_beta 116.75
_cell_angle_gamma 90.00
loop_
_space_group_symop_operation_xyz
'x,y,z'
'-x,-y,-z'
'-x,y,-z'
'x,-y,z'
'x+1/2,y+1/2,z'
'-x+1/2,-y+1/2,-z'
'-x+1/2,y+1/2,-z'
'x+1/2,-y+1/2,z'
loop_
_atom_site_label
_atom_site_fract_x
_atom_site_fract_y
_atom_site_fract_z
_atom_site_occupancy
Sm1 0.029 0.000 0.244 1
Sm2 0.188 0.500 0.869 1
Sm3 0.208 0.500 0.322 1
Ag1 0.000 0.292 0.500 1
Pd1 0.000 0.291 0.000 1

[3]
# BaNaO2F | Alexandria via LeMat-Bulk | PBE | optimized geometry
# - N(E_F) (states/eV/atom) = 0.203
# - size of the total moment (μB/atom) = 0.0000
# - raw formation energy (eV per atom) = -1.394
# - V (Å³/cell) = 106
data_BaNaO2F
_chemical_formula_sum 'Ba1 Na1 O2 F1'
_space_group_name_H-M_alt 'P 4/m m m'
_space_group_IT_number 123
_space_group_name_Hall '-P 4 2'
_cell_length_a 4.556
_cell_length_b 4.556
_cell_length_c 5.106
_cell_angle_alpha 90.00
_cell_angle_beta 90.00
_cell_angle_gamma 90.00
loop_
_atom_site_label
_atom_site_fract_x
_atom_site_fract_y
_atom_site_fract_z
_atom_site_occupancy
Ba1 0.000 0.000 0.000 1
Na1 0.500 0.500 0.500 1
O1 0.000 0.500 0.000 1
F1 0.000 0.000 0.500 1